VASP calculation (PBE) on a geometry-optimized Pm2Mg2Al15 structure.

Lattice parameters (Å, degrees): 7.159 7.159 7.159 83.15 83.15 83.15
Atoms (fractional coordinates):
Mg: 0.104 0.104 0.104
Mg: 0.896 0.896 0.896
Al: 0.649 0.649 0.155
Al: 0.000 0.500 0.000
Al: 0.351 0.351 0.845
Al: 0.351 0.845 0.351
Al: 0.704 0.000 0.296
Al: 0.296 0.704 0.000
Al: 0.000 0.704 0.296
Al: 0.155 0.649 0.649
Al: 0.649 0.155 0.649
Al: 0.000 0.000 0.500
Al: 0.000 0.296 0.704
Al: 0.500 0.000 0.000
Al: 0.296 0.000 0.704
Al: 0.845 0.351 0.351
Al: 0.704 0.296 0.000
Pm: 0.354 0.354 0.354
Pm: 0.646 0.646 0.646

Properties
E_form in meV/atom: -144.3


VASP calculation (PBE) on a geometry-optimized Mn2PW2 structure.

Lattice parameters (Å, degrees): 5.560 5.560 4.330 90.00 90.00 90.00
Last column: magnetic moment on the atom in μB.
Atoms (fractional coordinates):
W: 0.677 0.177 0.500  0.01
W: 0.823 0.677 0.500  0.01
W: 0.177 0.323 0.500  0.01
W: 0.323 0.823 0.500  0.01
Mn: 0.141 0.641 0.000  0.21
Mn: 0.359 0.141 0.000  0.21
Mn: 0.859 0.359 0.000  0.21
Mn: 0.641 0.859 0.000  0.21
P: 0.500 0.500 0.000  -0.01
P: 0.000 0.000 0.000  -0.01

Properties
E_form in meV/atom: 74.3


What did the second record say?
VASP calculation (PBE) on a geometry-optimized Mn2PW2 structure.

Lattice parameters (Å, degrees): 5.560 5.560 4.330 90.00 90.00 90.00
Last column: magnetic moment on the atom in μB.
Atoms (fractional coordinates):
W: 0.677 0.177 0.500  0.01
W: 0.823 0.677 0.500  0.01
W: 0.177 0.323 0.500  0.01
W: 0.323 0.823 0.500  0.01
Mn: 0.141 0.641 0.000  0.21
Mn: 0.359 0.141 0.000  0.21
Mn: 0.859 0.359 0.000  0.21
Mn: 0.641 0.859 0.000  0.21
P: 0.500 0.500 0.000  -0.01
P: 0.000 0.000 0.000  -0.01

Properties
E_form in meV/atom: 74.3